VASP calculation (PBE) on a relaxed structure of InSi2Br.

It has space group Cmmm (No. 65), with a = 3.324 Å, b = 5.672 Å, c = 9.274 Å, α = 90.00°, β = 90.00° and γ = 90.00°. The distinct sites, in fractional coordinates, are In at (0.000, 0.000, 0.000), Si at (0.000, 0.500, 0.256) and Br at (0.000, 0.000, 0.500).

The density of states at the Fermi level comes out at 0.403 states/eV/atom. The calculation puts the total energy at -25.9 eV/cell.

VASP calculation (PBE) on a relaxed structure of Pr2Tm3Mg.

It has space group C2/c (No. 15), with a = 9.863 Å, b = 11.574 Å, c = 6.744 Å, α = 90.00°, β = 94.88° and γ = 90.00°. The distinct sites, in fractional coordinates, are Pr at (0.164, 0.234, 0.202), Tm at (0.000, 0.047, 0.750), Tm at (0.190, 0.485, 0.488) and Mg at (0.000, 0.319, 0.750).

The density of states at the Fermi level comes out at 1.200 states/eV/atom. The calculation puts the total energy at -95.1 eV/cell.

VASP calculation (PBE) on a relaxed structure of In2Sb2Pd.

It has space group P4/mbm (No. 127), with a = 7.045 Å, b = 7.045 Å, c = 5.380 Å, α = 90.00°, β = 90.00° and γ = 90.00°. The distinct sites, in fractional coordinates, are In at (0.172, 0.328, 0.000), Sb at (0.149, 0.649, 0.500) and Pd at (0.000, 0.000, 0.500).

The density of states at the Fermi level comes out at 0.468 states/eV/atom. The calculation puts the total energy at -38.5 eV/cell.

What did the third record say?
VASP calculation (PBE) on a relaxed structure of In2Sb2Pd.

It has space group P4/mbm (No. 127), with a = 7.045 Å, b = 7.045 Å, c = 5.380 Å, α = 90.00°, β = 90.00° and γ = 90.00°. The distinct sites, in fractional coordinates, are In at (0.172, 0.328, 0.000), Sb at (0.149, 0.649, 0.500) and Pd at (0.000, 0.000, 0.500).

The density of states at the Fermi level comes out at 0.468 states/eV/atom. The calculation puts the total energy at -38.5 eV/cell.